Computed, not measured: Ce6IrC2Cl3 after structural relaxation at the PBE level of DFT.

## Properties
* Fermi-level density of states: 25.027 states/eV/f.u.
* VASP energy: -80.41 eV/cell
* energy relative to the elements, uncorrected: -0.996 eV/atom

Cell: 9.2357 9.2357 8.4617 Å, 109.19 109.19 23.56°
Sites, in units of the cell vectors:
Ce: 0.0233 0.0233 0.2499
Ce: 0.3195 0.3195 0.4428
Ce: 0.3330 0.3330 0.8643
Ce: 0.6670 0.6670 0.1357
Ce: 0.6805 0.6805 0.5572
Ce: 0.9767 0.9767 0.7501
Ir: 0.5000 0.5000 0.0000
C: 0.1715 0.1715 0.3407
C: 0.8285 0.8285 0.6593
Cl: 0.1637 0.1637 0.8326
Cl: 0.5000 0.5000 0.5000
Cl: 0.8363 0.8363 0.1674

Computed, not measured: KY2Os after structural relaxation at the PBE level of DFT.

## Properties
* Fermi-level density of states: 2.269 states/eV/f.u.
* energy of formation from the pure elements: 402 meV per atom
* VASP energy: -47.29 eV/cell

Cell: 4.4611 5.8196 7.9562 Å, 90.00 90.00 90.00°
Sites, in units of the cell vectors:
K: 0.0000 0.0000 0.0000
K: 0.5000 0.5000 0.5000
Y: 0.0000 0.5000 0.2169
Y: 0.0000 0.5000 0.7831
Y: 0.5000 0.0000 0.2831
Y: 0.5000 0.0000 0.7169
Os: 0.0000 0.0000 0.5000
Os: 0.5000 0.5000 0.0000

Computed, not measured: AlSiO after structural relaxation at the PBE level of DFT.

## Properties
* Fermi-level density of states: 0.397 states/eV/f.u.
* VASP energy: -36.95 eV/cell
* energy relative to the elements, uncorrected: -1.450 eV/atom

Cell: 4.2415 2.9398 7.3933 Å, 90.00 91.20 90.00°
Sites, in units of the cell vectors:
Al: 0.0000 0.0000 0.0000
Al: 0.4972 0.5000 0.2512
Si: 0.3359 0.0000 0.5251
Si: 0.8432 0.0000 0.6820
O: 0.2182 0.5000 0.0602
O: 0.7208 0.0000 0.1797

Computed, not measured: Pr3In4 after structural relaxation at the PBE level of DFT.

## Properties
* Fermi-level density of states: 4.085 states/eV/f.u.
* energy of formation from the pure elements: -311 meV per atom
* VASP energy: -27.47 eV/cell

Cell: 9.5632 9.5632 9.5632 Å, 32.57 32.57 32.57°
Sites, in units of the cell vectors:
Pr: 0.0000 0.0000 0.0000
Pr: 0.2432 0.2432 0.2432
Pr: 0.7568 0.7568 0.7568
In: 0.1259 0.1259 0.1259
In: 0.3787 0.3787 0.3787
In: 0.6213 0.6213 0.6213
In: 0.8741 0.8741 0.8741

Computed, not measured: Ba2HF after structural relaxation at the PBE level of DFT.

## Properties
* Fermi-level density of states: 2.670 states/eV/f.u.
* VASP energy: -44.00 eV/cell

Cell: 4.1075 4.1075 20.0919 Å, 90.00 90.00 120.00°
Sites, in units of the cell vectors:
Ba: 0.0000 0.0000 0.2500
Ba: 0.0000 0.0000 0.7500
Ba: 0.3333 0.6667 0.4166
Ba: 0.3333 0.6667 0.9167
Ba: 0.6667 0.3333 0.0833
Ba: 0.6667 0.3333 0.5834
H: 0.0000 0.0000 0.0000
H: 0.3333 0.6667 0.6667
H: 0.6667 0.3333 0.3333
F: 0.0000 0.0000 0.5000
F: 0.3333 0.6667 0.1667
F: 0.6667 0.3333 0.8333

Computed, not measured: CeYPbO2 after structural relaxation at the PBE level of DFT.

## Properties
* Fermi-level density of states: 5.119 states/eV/f.u.
* VASP energy: -77.03 eV/cell
* energy relative to the elements, uncorrected: -2.499 eV/atom

Cell: 3.9230 3.9230 13.7738 Å, 90.00 90.00 90.00°
Sites, in units of the cell vectors:
Ce: 0.0000 0.0000 0.0000
Ce: 0.5000 0.5000 0.5000
Y: 0.0000 0.0000 0.3311
Y: 0.5000 0.5000 0.8311
Pb: 0.0000 0.0000 0.6665
Pb: 0.5000 0.5000 0.1665
O: 0.0000 0.5000 0.4143
O: 0.0000 0.5000 0.9143
O: 0.5000 0.0000 0.4143
O: 0.5000 0.0000 0.9143